DFT (PBE+U) results for a relaxed Mn2Cl2O crystal.

a = 6.5587 Å, b = 6.5587 Å, c = 6.5587 Å
α = 124.24°, β = 82.54°, γ = 124.55°
With the nearest neighbours (Å) after each atom.
Element x y z (fractional)
Mn 0.0899 0.1909 0.2809  2 O 2.12
Mn 0.4101 0.6909 0.1010  2 O 2.12
Mn 0.5899 0.3091 0.8990  2 O 2.12
Mn 0.9101 0.8091 0.7191  2 O 2.12
Cl 0.1586 0.5970 0.7556  3 Mn 2.55-2.77
Cl 0.3414 0.0970 0.4384  3 Mn 2.55-2.77
Cl 0.6586 0.9030 0.5616  3 Mn 2.55-2.77
Cl 0.8414 0.4030 0.2444  3 Mn 2.55-2.77
O 0.2500 0.2500 0.0000  4 Mn 2.12
O 0.7500 0.7500 0.0000  4 Mn 2.12

E (eV per atom): -6.07
Crystal system: orthorhombic
Theoretical density (g/cm3): 3.5
SG: No. 72